Density functional theory data (PBE-GGA) for a relaxed structure of ScTlCoCu.

abc: 4.5674 4.5674 4.5674
angles: 60.00 60.00 60.00
Closest atoms and distances in Å follow each position.
Atoms (fractional coordinates):
Sc1 0.0000 0.0000 0.0000  4 Co 2.80, 4 Tl 2.80
Tl1 0.2500 0.2500 0.2500  4 Cu 2.80, 4 Sc 2.80
Co1 0.7500 0.7500 0.7500  4 Sc 2.80, 4 Cu 2.80
Cu1 0.5000 0.5000 0.5000  4 Co 2.80, 4 Tl 2.80

Properties
Its energy above the most stable polymorph in this dataset is 0.158 eV per atom. Its total energy is -4.7427 eV/atom.

---

Density functional theory data (PBE-GGA) for a relaxed structure of Co3CuSe5.

abc: 5.3280 5.3280 6.7661
angles: 90.00 90.00 120.00
Closest atoms and distances in Å follow each position.
Atoms (fractional coordinates):
Co1 0.0000 0.5000 0.0000  4 Se 2.35
Co2 0.5000 0.0000 0.0000  4 Se 2.35
Co3 0.5000 0.5000 0.0000  4 Se 2.35
Cu1 0.0000 0.0000 0.5000  14 Se 3.38-3.47
Se1 0.0000 0.0000 0.0000  6 Co 2.66
Se2 0.3333 0.6667 0.2626  3 Co 2.35
Se3 0.3333 0.6667 0.7374  3 Co 2.35
Se4 0.6667 0.3333 0.2626  3 Co 2.35
Se5 0.6667 0.3333 0.7374  3 Co 2.35

Properties
Its total energy is -4.6066 eV/atom.

---

Density functional theory data (PBE-GGA) for a relaxed structure of CoCuSnSe3.

abc: 6.7944 6.7944 9.6084
angles: 90.00 90.00 148.43
Closest atoms and distances in Å follow each position.
Atoms (fractional coordinates):
Co1 0.0000 0.0000 0.0000  6 Se 2.48-2.60
Co2 0.0000 0.0000 0.5000  6 Se 2.48-2.60
Cu1 0.4573 0.5427 0.7500  4 Se 2.38-2.41
Cu2 0.5427 0.4573 0.2500  4 Se 2.38-2.41
Sn1 0.2401 0.7599 0.2500  8 Se 3.04-3.21, 2 Cu 3.18
Sn2 0.7599 0.2401 0.7500  8 Se 3.04-3.21, 2 Cu 3.18
Se1 0.0755 0.9245 0.7500  2 Cu 2.41, 2 Co 2.60
Se2 0.3757 0.6243 0.5286  1 Cu 2.38, 2 Co 2.48
Se3 0.3757 0.6243 0.9714  1 Cu 2.38, 2 Co 2.48
Se4 0.6243 0.3757 0.0286  1 Cu 2.38, 2 Co 2.48
Se5 0.6243 0.3757 0.4714  1 Cu 2.38, 2 Co 2.48
Se6 0.9245 0.0755 0.2500  2 Cu 2.41, 2 Co 2.60

Properties
Its total energy is -4.3357 eV/atom.

---

Density functional theory data (PBE-GGA) for a relaxed structure of SrCoCuSe3.

abc: 7.5360 3.8667 8.8145
angles: 90.00 105.82 90.00
Closest atoms and distances in Å follow each position.
Atoms (fractional coordinates):
Sr1 0.2075 0.2500 0.2632  7 Se 3.15-3.30, 3 Cu 3.28-3.39
Sr2 0.7925 0.7500 0.7368  7 Se 3.15-3.30, 3 Cu 3.28-3.39
Co1 0.3381 0.7500 0.8532  6 Se 2.35-2.53
Co2 0.6619 0.2500 0.1468  6 Se 2.35-2.53
Cu1 0.0753 0.2500 0.5887  4 Se 2.45-2.54, 2 Cu 2.55
Cu2 0.9247 0.7500 0.4113  4 Se 2.45-2.54, 2 Cu 2.55
Se1 0.1317 0.2500 0.8759  1 Cu 2.45, 2 Co 2.52
Se2 0.2662 0.7500 0.5555  3 Cu 2.47-2.54, 1 Co 2.53
Se3 0.4579 0.7500 0.1292  3 Co 2.35-2.45
Se4 0.5421 0.2500 0.8708  3 Co 2.35-2.45
Se5 0.7338 0.2500 0.4445  3 Cu 2.47-2.54, 1 Co 2.53
Se6 0.8683 0.7500 0.1241  1 Cu 2.45, 2 Co 2.52

Properties
Its energy above the most stable polymorph in this dataset is 0.000 eV per atom. Its total energy is -4.5470 eV/atom.

---

Density functional theory data (PBE-GGA) for a relaxed structure of SrCoCuSe3.

abc: 6.8475 6.8475 9.6029
angles: 90.00 90.00 147.97
Closest atoms and distances in Å follow each position.
Atoms (fractional coordinates):
Sr1 0.2384 0.7617 0.7500  8 Se 3.14-3.26, 2 Cu 3.25
Sr2 0.7617 0.2384 0.2500  8 Se 3.14-3.26, 2 Cu 3.25
Co1 0.0000 0.0000 0.0000  6 Se 2.50-2.58
Co2 0.0000 0.0000 0.5000  6 Se 2.50-2.58
Cu1 0.4626 0.5374 0.2500  4 Se 2.37-2.38
Cu2 0.5374 0.4626 0.7500  4 Se 2.37-2.38
Se1 0.0710 0.9290 0.2500  2 Cu 2.37, 2 Co 2.58
Se2 0.3773 0.6227 0.0311  1 Cu 2.38, 2 Co 2.50
Se3 0.3773 0.6227 0.4689  1 Cu 2.38, 2 Co 2.50
Se4 0.6227 0.3773 0.5311  1 Cu 2.38, 2 Co 2.50
Se5 0.6227 0.3773 0.9689  1 Cu 2.38, 2 Co 2.50
Se6 0.9290 0.0710 0.7500  2 Cu 2.37, 2 Co 2.58

Properties
Its energy above the most stable polymorph in this dataset is 0.078 eV per atom. Its total energy is -4.4688 eV/atom.

---

Density functional theory data (PBE-GGA) for a relaxed structure of TlCoCuSe3.

abc: 7.5838 7.5838 9.6514
angles: 90.00 90.00 152.81
Closest atoms and distances in Å follow each position.
Atoms (fractional coordinates):
Tl1 0.2376 0.7624 0.7500  2 Cu 3.35, 8 Se 3.37-3.48, 2 Tl 3.57
Tl2 0.7624 0.2376 0.2500  2 Cu 3.35, 8 Se 3.37-3.48, 2 Tl 3.57
Co1 0.0000 0.0000 0.0000  6 Se 2.43-2.58
Co2 0.0000 0.0000 0.5000  6 Se 2.43-2.58
Cu1 0.4546 0.5454 0.2500  4 Se 2.37-2.39
Cu2 0.5454 0.4546 0.7500  4 Se 2.37-2.39
Se1 0.0629 0.9371 0.2500  2 Cu 2.39, 2 Co 2.58
Se2 0.3896 0.6104 0.0259  1 Cu 2.37, 2 Co 2.43
Se3 0.3896 0.6104 0.4741  1 Cu 2.37, 2 Co 2.43
Se4 0.6104 0.3896 0.5259  1 Cu 2.37, 2 Co 2.43
Se5 0.6104 0.3896 0.9741  1 Cu 2.37, 2 Co 2.43
Se6 0.9371 0.0629 0.7500  2 Cu 2.39, 2 Co 2.58

Properties
Its total energy is -4.1097 eV/atom.

---

Density functional theory data (PBE-GGA) for a relaxed structure of Co3CuSi5.

abc: 4.8082 4.8082 5.9531
angles: 90.00 90.00 120.00
Closest atoms and distances in Å follow each position.
Atoms (fractional coordinates):
Co1 0.0000 0.5000 0.0000  6 Si 2.29-2.40, 4 Co 2.40
Co2 0.5000 0.0000 0.0000  6 Si 2.29-2.40, 4 Co 2.40
Co3 0.5000 0.5000 0.0000  6 Si 2.29-2.40, 4 Co 2.40
Cu1 0.0000 0.0000 0.5000  14 Si 2.98-3.01
Si1 0.0000 0.0000 0.0000  6 Co 2.40
Si2 0.3333 0.6667 0.3059  3 Co 2.29, 1 Si 2.31
Si3 0.3333 0.6667 0.6941  3 Co 2.29, 1 Si 2.31
Si4 0.6667 0.3333 0.3059  3 Co 2.29, 1 Si 2.31
Si5 0.6667 0.3333 0.6941  3 Co 2.29, 1 Si 2.31

Properties
Its total energy is -5.8958 eV/atom.

---

Density functional theory data (PBE-GGA) for a relaxed structure of SmCoCuSi2.

abc: 5.6269 5.6269 5.6269
angles: 138.23 138.23 60.56
Closest atoms and distances in Å follow each position.
Atoms (fractional coordinates):
Sm1 0.0000 0.0000 0.0000  8 Si 3.09, 4 Co 3.15, 4 Cu 3.15
Co1 0.2500 0.7500 0.5000  4 Si 2.34
Cu1 0.7500 0.2500 0.5000  4 Si 2.34
Si1 0.3740 0.3740 0.0000  2 Cu 2.34, 2 Co 2.34, 1 Si 2.45
Si2 0.6260 0.6260 0.0000  2 Co 2.34, 2 Cu 2.34, 1 Si 2.45

Properties
Its total energy is -5.9081 eV/atom.

---

Density functional theory data (PBE-GGA) for a relaxed structure of Sr2Co3CuSi2.

abc: 4.0535 4.0535 10.6296
angles: 90.00 90.00 120.00
Closest atoms and distances in Å follow each position.
Atoms (fractional coordinates):
Sr1 0.0000 0.0000 0.0000  4 Co 2.97-3.28, 1 Cu 3.06
Sr2 0.3333 0.6667 0.4985  2 Co 2.89-3.00
Co1 0.0000 0.0000 0.7203  3 Si 2.36, 3 Co 2.40
Co2 0.3333 0.6667 0.2160  3 Si 2.35, 3 Cu 2.46
Co3 0.3333 0.6667 0.7704  3 Si 2.36, 3 Co 2.40
Cu1 0.0000 0.0000 0.2880  3 Si 2.41, 3 Co 2.46
Si1 0.6667 0.3333 0.2329  3 Co 2.35, 3 Cu 2.41
Si2 0.6667 0.3333 0.7454  6 Co 2.36

Properties
Its total energy is -5.1778 eV/atom.

---

Density functional theory data (PBE-GGA) for a relaxed structure of TaCoCuSi.

abc: 4.1910 4.1910 4.1910
angles: 60.00 60.00 60.00
Closest atoms and distances in Å follow each position.
Atoms (fractional coordinates):
Ta1 0.0000 0.0000 0.0000  4 Co 2.57, 4 Cu 2.57
Co1 0.7500 0.7500 0.7500  4 Ta 2.57, 4 Si 2.57
Cu1 0.2500 0.2500 0.2500  4 Ta 2.57, 4 Si 2.57
Si1 0.5000 0.5000 0.5000  4 Co 2.57, 4 Cu 2.57

Properties
Its energy above the most stable polymorph in this dataset is 0.000 eV per atom. Its total energy is -7.1524 eV/atom.

---

Density functional theory data (PBE-GGA) for a relaxed structure of TaCoCuSi.

abc: 4.2069 4.2069 4.2069
angles: 60.00 60.00 60.00
Closest atoms and distances in Å follow each position.
Atoms (fractional coordinates):
Ta1 0.0000 0.0000 0.0000  4 Co 2.58, 4 Si 2.58
Co1 0.7500 0.7500 0.7500  4 Cu 2.58, 4 Ta 2.58
Cu1 0.5000 0.5000 0.5000  4 Co 2.58, 4 Si 2.58
Si1 0.2500 0.2500 0.2500  4 Cu 2.58, 4 Ta 2.58

Properties
Its energy above the most stable polymorph in this dataset is 0.046 eV per atom. Its total energy is -7.1065 eV/atom.

---

Density functional theory data (PBE-GGA) for a relaxed structure of TaCoCuSi.

abc: 4.2090 4.2090 4.2090
angles: 60.00 60.00 60.00
Closest atoms and distances in Å follow each position.
Atoms (fractional coordinates):
Ta1 0.0000 0.0000 0.0000  4 Cu 2.58, 4 Si 2.58
Co1 0.5000 0.5000 0.5000  4 Si 2.58, 4 Cu 2.58
Cu1 0.7500 0.7500 0.7500  4 Co 2.58, 4 Ta 2.58
Si1 0.2500 0.2500 0.2500  4 Co 2.58, 4 Ta 2.58

Properties
Its energy above the most stable polymorph in this dataset is 0.099 eV per atom. Its total energy is -7.0533 eV/atom.

---

Density functional theory data (PBE-GGA) for a relaxed structure of CoCuSiTc.

abc: 4.1196 4.1196 4.1196
angles: 60.00 60.00 60.00
Closest atoms and distances in Å follow each position.
Atoms (fractional coordinates):
Co1 0.0000 0.0000 0.0000  4 Tc 2.52, 4 Cu 2.52
Cu1 0.7500 0.7500 0.7500  4 Co 2.52, 4 Si 2.52
Si1 0.5000 0.5000 0.5000  4 Cu 2.52, 4 Tc 2.52
Tc1 0.2500 0.2500 0.2500  4 Si 2.52, 4 Co 2.52

Properties
Its energy above the most stable polymorph in this dataset is 0.000 eV per atom. Its total energy is -6.7069 eV/atom.

---

Number 1: total moment 1.34 μB/f.u.. Number 2: total moment 2.48 μB/f.u.. Number 3: total moment 0.00 μB/f.u.. Number 4: total moment 0.01 μB/f.u.. Number 5: total moment 0.17 μB/f.u.. Number 6: total moment 0.02 μB/f.u.. Number 7: total moment 0.00 μB/f.u.. Number 8: total moment 0.50 μB/f.u.. Number 9: total moment 1.85 μB/f.u.. Number 10: total moment 0.00 μB/f.u.. Number 11: total moment 0.02 μB/f.u.. Number 12: total moment 1.12 μB/f.u.. Number 13: total moment 2.10 μB/f.u..